[1]
Material: TbLuPbAu
Method: DFT, PBE
State: relaxed

Cell lengths 7.3914, 7.3914, 7.3914 Å; angles 90.00, 90.00, 90.00 degrees
Closest atoms and distances in Å follow each position.
Space group F-43m (No. 216)
Symmetry-distinct sites (fractional):
Tb 0.0000 0.0000 0.0000 x4  4 Au 3.20, 4 Pb 3.20
Lu 0.0000 0.0000 0.5000 x4  4 Pb 3.20, 4 Au 3.20
Pb 0.2500 0.2500 0.2500 x4  4 Tb 3.20, 4 Lu 3.20
Au 0.2500 0.2500 0.7500 x4  4 Tb 3.20, 4 Lu 3.20

Summary:
ΔE_f = -0.578 eV per atom
density = 12.140 g cm⁻³
M_tot = 0.132 μB/atom
VASP energy = -4.612 eV/atom

---

[2]
Material: Pu2CdAu3
Method: DFT, PBE
State: relaxed

Cell lengths 6.0905, 9.9322, 17.2352 Å; angles 90.00, 90.00, 90.00 degrees
Closest atoms and distances in Å follow each position.
Space group Fmmm (No. 69)
Symmetry-distinct sites (fractional):
Pu 0.2450 0.0000 0.0000 x8  2 Pu 2.98-3.11, 10 Au 3.25-3.26, 2 Cd 3.26
Pu 0.2500 0.2500 0.2500 x8  2 Pu 3.05, 8 Au 3.24-3.25, 4 Cd 3.25
Cd 0.0000 0.0000 0.3337 x8  5 Au 2.85-3.05
Au 0.0000 0.0000 0.1679 x8  3 Cd 2.86-3.05, 2 Au 2.89
Au 0.0000 0.2483 0.4164 x16  1 Cd 2.85, 4 Au 2.88-3.05

Summary:
ΔE_f = -0.427 eV per atom
density = 15.179 g cm⁻³
M_tot = 0.005 μB/atom
excess energy over the best structure of this formula in the dataset = 0.0 kJ/mol of atoms
VASP energy = -6.996 eV/atom

---

[3]
Material: KCd3AgAu
Method: DFT, PBE
State: relaxed

Cell lengths 7.6254, 13.8179, 6.2926 Å; angles 90.00, 90.00, 90.00 degrees
Closest atoms and distances in Å follow each position.
Space group Cmcm (No. 63)
Symmetry-distinct sites (fractional):
K 0.0000 0.2248 0.2500 x4  1 Ag 3.29, 2 Au 3.37, 2 Cd 3.51
Cd 0.0000 0.3374 0.7500 x4  1 Ag 2.76, 1 Au 2.77
Cd 0.1981 0.0000 0.0000 x8  2 Ag 2.84, 2 Au 2.89, 3 Cd 3.02-3.15
Ag 0.0000 0.4626 0.2500 x4  5 Cd 2.76-2.84
Au 0.0000 0.1370 0.7500 x4  5 Cd 2.77-2.89

Summary:
ΔE_f = -0.057 eV per atom
density = 6.824 g cm⁻³
M_tot = 0.000 μB/atom
VASP energy = -1.719 eV/atom

---

[4]
Material: TbSmZnAg
Method: DFT, PBE
State: relaxed

Cell lengths 3.6457, 3.6457, 7.2849 Å; angles 90.00, 90.00, 90.00 degrees
Closest atoms and distances in Å follow each position.
Space group P4mm (No. 99)
Symmetry-distinct sites (fractional):
Tb 0.0000 0.0000 0.0000 x1  4 Zn 3.10, 4 Ag 3.15
Sm 0.0000 0.0000 0.4838 x1  4 Zn 3.15, 4 Ag 3.24, 1 Tb 3.52
Zn 0.5000 0.5000 0.2357 x1  4 Tb 3.10, 4 Sm 3.15
Ag 0.5000 0.5000 0.7524 x1  4 Tb 3.15, 4 Sm 3.24, 1 Zn 3.52

Summary:
ΔE_f = -0.318 eV per atom
density = 8.276 g cm⁻³
M_tot = 0.000 μB/atom
excess energy over the best structure of this formula in the dataset = 0.0 kJ/mol of atoms
VASP energy = -3.686 eV/atom

---

[5]
Material: NdSm6DyTm2
Method: DFT, PBE
State: relaxed

Cell lengths 9.2746, 15.1131, 9.5649 Å; angles 90.00, 96.56, 90.00 degrees
Closest atoms and distances in Å follow each position.
Space group C2/c (No. 15)
Symmetry-distinct sites (fractional):
Nd 0.0000 0.0309 0.2500 x4  4 Tm 3.41-3.49, 6 Sm 3.57-3.77
Sm 0.0633 0.1780 0.9444 x8  7 Sm 3.44-3.77, 1 Tm 3.52, 2 Nd 3.68-3.77
Sm 0.0951 0.3889 0.1172 x8  4 Sm 3.24-3.59, 3 Tm 3.31-3.47, 2 Dy 3.44-3.54
Sm 0.2158 0.2253 0.3169 x8  3 Sm 3.24-3.62, 1 Dy 3.46, 1 Tm 3.46, 1 Nd 3.57
Dy 0.0000 0.4104 0.7500 x4  6 Sm 3.44-3.54, 2 Tm 3.52
Tm 0.2481 0.4507 0.4508 x8  6 Sm 3.31-3.64, 2 Nd 3.41-3.49, 1 Dy 3.52

Summary:
ΔE_f = 0.118 eV per atom
density = 7.714 g cm⁻³
M_tot = 0.000 μB/atom
VASP energy = -4.545 eV/atom

---

[6]
Material: SrAc6CoPt
Method: DFT, PBE
State: relaxed

Cell lengths 7.4118, 7.4118, 9.5518 Å; angles 90.00, 90.00, 120.00 degrees
Closest atoms and distances in Å follow each position.
Space group P312 (No. 149)
Symmetry-distinct sites (fractional):
Sr 0.0000 0.0000 0.0000 x1  6 Ac 4.05
Ac 0.0139 0.3480 0.3312 x6  1 Co 2.86, 1 Pt 2.99
Co 0.3333 0.6667 0.5000 x1  6 Ac 2.86
Pt 0.6667 0.3333 0.5000 x1  6 Ac 2.99

Summary:
ΔE_f = -0.069 eV per atom
density = 6.225 g cm⁻³
M_tot = 0.000 μB/atom
VASP energy = -4.456 eV/atom

---

[7]
Material: HfZrNp
Method: DFT, PBE
State: relaxed

Cell lengths 3.5236, 19.4702, 3.8377 Å; angles 90.00, 90.00, 90.00 degrees
Closest atoms and distances in Å follow each position.
Space group Cmcm (No. 63)
Symmetry-distinct sites (fractional):
Hf 0.0000 0.1169 0.2500 x4  4 Np 3.03, 4 Zr 3.12
Zr 0.0000 0.2946 0.2500 x4  5 Hf 3.12-3.46, 4 Zr 3.13, 1 Np 3.27
Np 0.0000 0.4628 0.2500 x4  2 Np 2.40

Summary:
ΔE_f = 0.245 eV per atom
density = 12.783 g cm⁻³
M_tot = 0.157 μB/atom
VASP energy = -10.236 eV/atom

---

[8]
Material: B2AsOs
Method: DFT, PBE
State: relaxed

Cell lengths 4.8734, 4.8734, 9.4449 Å; angles 90.00, 90.00, 90.00 degrees
Closest atoms and distances in Å follow each position.
Space group I-42d (No. 122)
Symmetry-distinct sites (fractional):
B 0.2372 0.2500 0.1250 x8  2 Os 2.05, 2 As 2.13
As 0.0000 0.0000 0.5000 x4  4 B 2.13
Os 0.0000 0.0000 0.0000 x4  4 B 2.05

Summary:
ΔE_f = 0.533 eV per atom
density = 8.491 g cm⁻³
M_tot = 0.000 μB/atom
VASP energy = -6.775 eV/atom

---

[9]
Material: GaCo
Method: DFT, PBE
State: relaxed

Cell lengths 2.7483, 10.4851, 13.9713 Å; angles 90.00, 90.00, 90.00 degrees
Closest atoms and distances in Å follow each position.
Space group Fddd (No. 70, origin choice 2)
Symmetry-distinct sites (fractional):
Ga 0.1250 0.2584 0.1250 x16  6 Co 2.43-2.48
Co 0.1250 0.1250 0.5168 x16  6 Ga 2.43-2.48

Summary:
ΔE_f = -0.084 eV per atom
density = 8.490 g cm⁻³
M_tot = 0.000 μB/atom
VASP energy = -5.150 eV/atom

---

[10]
Material: CeCd5Au
Method: DFT, PBE
State: relaxed

Cell lengths 4.8574, 4.8574, 7.3186 Å; angles 90.00, 90.00, 90.00 degrees
Closest atoms and distances in Å follow each position.
Space group P4/mmm (No. 123)
Symmetry-distinct sites (fractional):
Ce 0.0000 0.0000 0.0000 x1  12 Cd 3.23-3.43
Cd 0.0000 0.5000 0.2913 x4  2 Au 2.87, 1 Cd 3.06
Cd 0.5000 0.5000 0.0000 x1  8 Cd 3.23, 4 Ce 3.43
Au 0.0000 0.0000 0.5000 x1  8 Cd 2.87

Summary:
ΔE_f = -0.203 eV per atom
density = 8.646 g cm⁻³
M_tot = 0.146 μB/atom
VASP energy = -2.173 eV/atom

---

[11]
Material: Ac6Ir2SeBr2
Method: DFT, PBE
State: relaxed

Cell lengths 7.9575, 13.2748, 7.9805 Å; angles 90.00, 107.55, 90.00 degrees
Closest atoms and distances in Å follow each position.
Space group C2/m (No. 12)
Symmetry-distinct sites (fractional):
Ac 0.1971 0.0000 0.2175 x4  2 Ir 2.98
Ac 0.2457 0.3253 0.2098 x8  2 Ir 2.99, 1 Se 3.17
Ir 0.0000 0.1697 0.0000 x4  6 Ac 2.98-2.99
Se 0.0000 0.5000 0.0000 x2  6 Ac 3.17-3.37
Br 0.0000 0.3438 0.5000 x4  6 Ac 3.42-3.46

Summary:
density = 8.202 g cm⁻³
M_tot = 0.000 μB/atom
VASP energy = -5.603 eV/atom
E_form (uncorrected) = -1199 kJ/mol of formula units

---

[12]
Material: CaTlCd11
Method: DFT, PBE
State: relaxed

Cell lengths 6.2116, 14.1896, 7.8018 Å; angles 90.00, 113.14, 90.00 degrees
Closest atoms and distances in Å follow each position.
Space group C2/m (No. 12)
Symmetry-distinct sites (fractional):
Ca 0.0000 0.0000 0.0000 x2  18 Cd 3.57-3.92, 2 Tl 3.90
Tl 0.0000 0.0000 0.5000 x2  10 Cd 3.06-3.21
Cd 0.0000 0.5000 0.5000 x2  8 Cd 2.97-3.14, 2 Tl 3.11
Cd 0.0925 0.3925 0.2097 x8  7 Cd 2.93-3.27, 1 Tl 3.06
Cd 0.1866 0.1794 0.3486 x8  6 Cd 2.96-3.27, 1 Tl 3.21
Cd 0.2500 0.2500 0.0000 x4  10 Cd 2.93-3.16

Summary:
ΔE_f = -0.051 eV per atom
density = 7.778 g cm⁻³
M_tot = 0.000 μB/atom
VASP energy = -1.162 eV/atom